A plane-wave DFT calculation with PBE was carried out for LiIrOs after structural relaxation.

## Properties
Its formation energy is 0.0 eV per formula unit. Its space group is P1. The value obtained for the polymorph energy (0 for the lowest one) is 33 meV/atom.

Unit cell a=2.688 b=4.625 c=7.137 alpha=86.49 beta=79.08 gamma=106.79
Atoms (fractional coordinates):
Li (0.236, 0.806, 0.942)
Li (0.563, 0.787, 0.269)
Ir (0.734, 0.278, 0.418)
Ir (0.410, 0.299, 0.087)
Os (0.904, 0.811, 0.612)
Os (0.085, 0.322, 0.760)

A plane-wave DFT calculation with PBE was carried out for RbCeUO6 after structural relaxation.

## Properties
For the formation energy from raw total energies, the calculation gives -2354.8 kJ/mol of formula units. Its space group is Imma.

Unit cell a=7.902 b=8.147 c=8.080 alpha=120.27 beta=119.28 gamma=90.00
Atoms (fractional coordinates):
O (0.175, 0.925, 0.351)
O (0.198, 0.934, 0.766)
O (0.443, 0.693, 0.887)
O (0.802, 0.066, 0.234)
O (0.825, 0.075, 0.649)
O (0.568, 0.934, 0.766)
O (0.198, 0.332, 0.766)
O (0.557, 0.307, 0.113)
O (0.432, 0.066, 0.234)
O (0.432, 0.668, 0.234)
O (0.568, 0.332, 0.766)
O (0.802, 0.668, 0.234)
Ce (0.500, 0.000, 0.500)
Ce (0.000, 0.000, 0.500)
U (0.500, 0.500, 0.000)
U (0.500, 0.000, 0.000)
Rb (0.089, 0.339, 0.178)
Rb (0.911, 0.661, 0.822)

A plane-wave DFT calculation with PBE was carried out for Ac8PmEr2 after structural relaxation.

## Properties
Its formation energy is 4.0 eV per formula unit. Its space group is C2/m.

Unit cell a=6.222 b=9.093 c=9.093 alpha=84.76 beta=80.48 gamma=80.48
Atoms (fractional coordinates):
Ac (0.190, 0.857, 0.366)
Ac (0.293, 0.420, 0.420)
Ac (0.495, 0.143, 0.143)
Ac (0.190, 0.366, 0.857)
Ac (0.810, 0.634, 0.143)
Ac (0.505, 0.857, 0.857)
Ac (0.707, 0.580, 0.580)
Ac (0.810, 0.143, 0.634)
Pm (0.000, 0.000, 0.000)
Er (0.078, 0.739, 0.739)
Er (0.922, 0.261, 0.261)

A plane-wave DFT calculation with PBE was carried out for Cu2TcRhN after structural relaxation.

## Properties
For the formation energy from raw total energies, the calculation gives 601.7 kJ/mol of formula units. Its space group is P4/mmm. The value obtained for the polymorph energy (0 for the lowest one) is 0 meV/atom.

Unit cell a=4.785 b=3.594 c=4.785 alpha=90.00 beta=90.00 gamma=90.00
Atoms (fractional coordinates):
Cu (0.000, 0.000, 0.500)
Cu (0.500, 0.000, 0.000)
Tc (0.500, 0.500, 0.500)
Rh (0.000, 0.000, 0.000)
N (0.000, 0.500, 0.000)

A plane-wave DFT calculation with PBE was carried out for Nd4AgN2 after structural relaxation.

## Properties
For the formation energy from raw total energies, the calculation gives -511.0 kJ/mol of formula units. Its space group is R-3m.

Unit cell a=3.648 b=3.648 c=14.391 alpha=82.72 beta=82.72 gamma=60.00
Atoms (fractional coordinates):
Nd (0.877, 0.877, 0.370)
Nd (0.275, 0.275, 0.174)
Nd (0.725, 0.725, 0.826)
Nd (0.123, 0.123, 0.630)
N (0.426, 0.426, 0.723)
N (0.574, 0.574, 0.277)
Ag (0.000, 0.000, 0.000)

A plane-wave DFT calculation with PBE was carried out for Be3SiBr after structural relaxation.

## Properties
For the formation energy from raw total energies, the calculation gives 321.1 kJ/mol of formula units. Its space group is Pm-3m. The value obtained for the polymorph energy (0 for the lowest one) is 0 meV/atom.

Unit cell a=4.395 b=4.395 c=4.395 alpha=90.00 beta=90.00 gamma=90.00
Atoms (fractional coordinates):
Be (0.000, 0.500, 0.000)
Be (0.500, 0.000, 0.000)
Be (0.000, 0.000, 0.500)
Br (0.500, 0.500, 0.500)
Si (0.000, 0.000, 0.000)

A plane-wave DFT calculation with PBE was carried out for Ag4As after structural relaxation.

## Properties
Its formation energy is 1.7 eV per formula unit. Its space group is I4/mmm. The value obtained for the polymorph energy (0 for the lowest one) is 249 meV/atom.

Unit cell a=7.687 b=7.687 c=7.687 alpha=151.73 beta=151.73 gamma=40.41
Atoms (fractional coordinates):
Ag (0.750, 0.250, 0.500)
Ag (0.405, 0.405, 0.000)
Ag (0.595, 0.595, 0.000)
Ag (0.250, 0.750, 0.500)
As (0.000, 0.000, 0.000)

A plane-wave DFT calculation with PBE was carried out for HoPuTcPt after structural relaxation.

## Properties
Its formation energy is -1.7 eV per formula unit. Its space group is F-43m.

Unit cell a=4.851 b=4.851 c=4.851 alpha=60.00 beta=60.00 gamma=60.00
Atoms (fractional coordinates):
Tc (0.250, 0.250, 0.250)
Pt (0.750, 0.750, 0.750)
Pu (0.000, 0.000, 0.000)
Ho (0.500, 0.500, 0.500)

A plane-wave DFT calculation with PBE was carried out for Tl3Ni2WSe6 after structural relaxation.

## Properties
For the formation energy from raw total energies, the calculation gives -226.0 kJ/mol of formula units. Its space group is C2/m.

Unit cell a=6.433 b=6.433 c=8.047 alpha=97.51 beta=97.51 gamma=120.14
Atoms (fractional coordinates):
Tl (0.837, 0.163, 0.500)
Tl (0.500, 0.500, 0.500)
Tl (0.163, 0.837, 0.500)
Ni (0.666, 0.334, 0.000)
Ni (0.334, 0.666, 0.000)
W (0.000, 0.000, 0.000)
Se (0.601, 0.945, 0.831)
Se (0.945, 0.601, 0.831)
Se (0.399, 0.055, 0.169)
Se (0.055, 0.399, 0.169)
Se (0.290, 0.290, 0.833)
Se (0.710, 0.710, 0.167)

A plane-wave DFT calculation with PBE was carried out for CuP2PtS after structural relaxation.

## Properties
For the formation energy from raw total energies, the calculation gives 382.5 kJ/mol of formula units. Its space group is P4/mmm. The value obtained for the polymorph energy (0 for the lowest one) is 0 meV/atom.

Unit cell a=4.565 b=4.851 c=4.565 alpha=90.00 beta=90.00 gamma=90.00
Atoms (fractional coordinates):
P (0.500, 0.000, 0.000)
P (0.000, 0.000, 0.500)
Cu (0.000, 0.500, 0.000)
Pt (0.000, 0.000, 0.000)
S (0.500, 0.500, 0.500)

A plane-wave DFT calculation with PBE was carried out for Li2GdPu after structural relaxation.

## Properties
Its formation energy is 1.3 eV per formula unit. Its space group is P4/mmm.

Unit cell a=3.373 b=5.446 c=5.446 alpha=90.00 beta=90.00 gamma=90.00
Atoms (fractional coordinates):
Li (0.000, 0.000, 0.500)
Li (0.000, 0.500, 0.000)
Pu (0.500, 0.000, 0.000)
Gd (0.500, 0.500, 0.500)

A plane-wave DFT calculation with PBE was carried out for KLa2Re after structural relaxation.

## Properties
Its formation energy is 2.3 eV per formula unit. Its space group is I-42d. The value obtained for the polymorph energy (0 for the lowest one) is 327 meV/atom.

Unit cell a=8.473 b=8.473 c=8.478 alpha=60.02 beta=60.02 gamma=90.00
Atoms (fractional coordinates):
La (0.375, 0.126, 0.750)
La (0.874, 0.125, 0.250)
La (0.876, 0.625, 0.250)
La (0.875, 0.124, 0.750)
Re (0.000, 0.000, 0.000)
Re (0.750, 0.250, 0.500)
K (0.250, 0.750, 0.500)
K (0.500, 0.500, 0.000)